! Tl4Rh (meta-GGA SCAN, single point on PBEsol structure); values from VASP
! - total moment (μB/cell) = 0.00
! - V (Å³ per cell) = 119.98
! - calculated formation energy (eV/atom) = 0.0810
! - SG = C2/m
! - calculated density (Mg/m³) = 12.74
&SYSTEM
  ibrav = 0, nat = 5, ntyp = 2
/
ATOMIC_SPECIES
Tl 204.38 Tl.upf
Rh 102.91 Rh.upf
ATOMIC_POSITIONS crystal
Tl 0.5668 0.1996 0.6668
Tl 0.2364 0.3314 0.1959
Tl 0.7636 0.6686 0.8041
Tl 0.4332 0.8004 0.3332
Rh 0.0000 0.0000 0.0000
CELL_PARAMETERS angstrom
-1.4064 0.2654 -2.7819
3.6791 -3.4067 -3.9442
-4.0311 -4.9615 -0.1944

! MgRu2Se (meta-GGA SCAN, single point on PBEsol structure); values from VASP
! - total moment (μB/cell) = 0.00
! - E_form (uncorrected) (eV per atom) = 0.065
! - V (Å³ per cell) = 56.27
! - SG = P4/mmm
! - calculated density (Mg/m³) = 9.01
&SYSTEM
  ibrav = 0, nat = 4, ntyp = 3
/
ATOMIC_SPECIES
Mg 24.30 Mg.upf
Ru 101.07 Ru.upf
Se 78.96 Se.upf
ATOMIC_POSITIONS crystal
Mg 0.5000 0.0000 0.0000
Ru 0.0000 0.0000 0.5000
Ru 0.0000 0.5000 0.0000
Se 0.5000 0.5000 0.5000
CELL_PARAMETERS angstrom
3.0849 0.0000 0.0000
0.0000 4.2709 0.0000
0.0000 0.0000 4.2709

! SrTeAsN2 (meta-GGA SCAN, single point on PBEsol structure); values from VASP
! - total moment (μB/cell) = 2.28
! - E_form (uncorrected) (eV per atom) = 0.655
! - V (Å³ per cell) = 98.78
! - SG = P4/mmm
! - calculated density (Mg/m³) = 5.35
&SYSTEM
  ibrav = 0, nat = 5, ntyp = 4
/
ATOMIC_SPECIES
Sr 87.62 Sr.upf
As 74.92 As.upf
Te 127.60 Te.upf
N 14.01 N.upf
ATOMIC_POSITIONS crystal
Sr 0.5000 0.5000 0.5000
As 0.0000 0.0000 0.0000
Te 0.0000 0.0000 0.5000
N 0.0000 0.5000 0.0000
N 0.5000 0.0000 0.0000
CELL_PARAMETERS angstrom
-1.4067 -3.6740 -1.6440
1.5465 -2.1011 3.3725
-4.7358 0.6580 2.5816

! Sr3SiH (meta-GGA SCAN, single point on PBEsol structure); values from VASP
! - total moment (μB/cell) = 0.00
! - V (Å³ per cell) = 128.81
! - SG = Pm-3m
! - calculated density (Mg/m³) = 3.76
! - DFT total energy (Ry/atom) = -1.1963
&SYSTEM
  ibrav = 0, nat = 5, ntyp = 3
/
ATOMIC_SPECIES
Sr 87.62 Sr.upf
Si 28.09 Si.upf
H 1.01 H.upf
ATOMIC_POSITIONS crystal
Sr 0.0000 0.5000 0.0000
Sr 0.0000 0.0000 0.5000
Sr 0.5000 0.0000 0.0000
Si 0.5000 0.5000 0.5000
H 0.0000 0.0000 0.0000
CELL_PARAMETERS angstrom
5.0503 0.0000 0.0000
0.0000 5.0503 0.0000
0.0000 0.0000 5.0503

! CsAg2As (meta-GGA SCAN, single point on PBEsol structure); values from VASP
! - total moment (μB/cell) = 0.00
! - V (Å³ per cell) = 267.69
! - calculated formation energy (eV/atom) = -0.2204
! - SG = I4_1/amd
! - calculated density (Mg/m³) = 5.25
&SYSTEM
  ibrav = 0, nat = 8, ntyp = 3
/
ATOMIC_SPECIES
Cs 132.91 Cs.upf
As 74.92 As.upf
Ag 107.87 Ag.upf
ATOMIC_POSITIONS crystal
Cs 0.0000 0.0000 0.0000
Cs 0.2500 0.7500 0.5000
As 0.5000 0.5000 0.0000
As 0.7500 0.2500 0.5000
Ag 0.6250 0.3750 0.7500
Ag 0.1250 0.3750 0.7500
Ag 0.6250 0.8750 0.2500
Ag 0.6250 0.3750 0.2500
CELL_PARAMETERS angstrom
5.8110 0.0000 0.0000
0.0000 5.8110 0.0000
-2.9055 -2.9055 7.9276

! CdH10C3NCl3 (meta-GGA SCAN, single point on PBEsol structure); values from VASP
! - total moment (μB/cell) = 0.00
! - V (Å³ per cell) = 849.65
! - SG = Pnma
! - calculated density (Mg/m³) = 2.18
! - DFT total energy (Ry/atom) = -0.5597
&SYSTEM
  ibrav = 0, nat = 72, ntyp = 5
/
ATOMIC_SPECIES
Cd 112.41 Cd.upf
H 1.01 H.upf
C 12.01 C.upf
N 14.01 N.upf
Cl 35.45 Cl.upf
ATOMIC_POSITIONS crystal
Cd 0.0000 0.5000 0.5000
Cd 0.5000 0.0000 0.0000
Cd 0.5000 0.5000 0.5000
Cd 0.0000 0.0000 0.0000
H 0.2500 0.9546 0.7615
H 0.2500 0.5454 0.2615
H 0.7500 0.0454 0.2385
H 0.7500 0.4546 0.7385
H 0.2500 0.2522 0.6691
H 0.2500 0.2478 0.1691
H 0.7500 0.7478 0.3309
H 0.7500 0.7522 0.8309
H 0.1155 0.1978 0.7744
H 0.3845 0.3022 0.2744
H 0.6155 0.8022 0.2256
H 0.8845 0.6978 0.7256
H 0.8845 0.8022 0.2256
H 0.6155 0.6978 0.7256
H 0.3845 0.1978 0.7744
H 0.1155 0.3022 0.2744
H 0.0604 0.0609 0.5845
H 0.4396 0.4391 0.0845
H 0.5604 0.9391 0.4155
H 0.9396 0.5609 0.9155
H 0.9396 0.9391 0.4155
H 0.5604 0.5609 0.9155
H 0.4396 0.0609 0.5845
H 0.0604 0.4391 0.0845
H 0.0727 0.8681 0.6232
H 0.4273 0.6319 0.1232
H 0.5727 0.1319 0.3768
H 0.9273 0.3681 0.8768
H 0.9273 0.1319 0.3768
H 0.5727 0.3681 0.8768
H 0.4273 0.8681 0.6232
H 0.0727 0.6319 0.1232
H 0.9363 0.0056 0.6915
H 0.5637 0.4944 0.1915
H 0.4363 0.9944 0.3085
H 0.0637 0.5056 0.8085
H 0.0637 0.9944 0.3085
H 0.4363 0.5056 0.8085
H 0.5637 0.0056 0.6915
H 0.9363 0.4944 0.1915
C 0.2500 0.1791 0.7315
C 0.2500 0.3209 0.2315
C 0.7500 0.8209 0.2685
C 0.7500 0.6791 0.7685
C 0.0666 0.9858 0.6458
C 0.4334 0.5142 0.1458
C 0.5666 0.0142 0.3542
C 0.9334 0.4858 0.8542
C 0.9334 0.0142 0.3542
C 0.5666 0.4858 0.8542
C 0.4334 0.9858 0.6458
C 0.0666 0.5142 0.1458
N 0.2500 0.0212 0.6998
N 0.2500 0.4788 0.1998
N 0.7500 0.9788 0.3002
N 0.7500 0.5212 0.8002
Cl 0.2500 0.5833 0.6348
Cl 0.2500 0.9167 0.1348
Cl 0.7500 0.4167 0.3652
Cl 0.7500 0.0833 0.8652
Cl 0.2500 0.6523 0.3898
Cl 0.2500 0.8477 0.8898
Cl 0.7500 0.3477 0.6102
Cl 0.7500 0.1523 0.1102
Cl 0.2500 0.2795 0.4779
Cl 0.2500 0.2205 0.9779
Cl 0.7500 0.7205 0.5221
Cl 0.7500 0.7795 0.0221
CELL_PARAMETERS angstrom
6.6817 0.0000 0.0000
0.0000 8.9413 0.0000
0.0000 0.0000 14.2216

! Be2ZnCu (meta-GGA SCAN, single point on PBEsol structure); values from VASP
! - total moment (μB/cell) = 0.00
! - V (Å³ per cell) = 41.72
! - calculated formation energy (eV/atom) = 0.0432
! - SG = R-3m
! - calculated density (Mg/m³) = 5.85
&SYSTEM
  ibrav = 0, nat = 4, ntyp = 3
/
ATOMIC_SPECIES
Be 9.01 Be.upf
Zn 65.41 Zn.upf
Cu 63.55 Cu.upf
ATOMIC_POSITIONS crystal
Be 0.2457 0.2457 0.2630
Be 0.7543 0.7543 0.7370
Zn 0.0000 0.0000 0.0000
Cu 0.5000 0.5000 0.5000
CELL_PARAMETERS angstrom
-1.5194 0.6205 -1.8768
-2.4648 0.0812 0.3662
-0.7815 7.6944 1.5205

! YAl4Te (meta-GGA SCAN, single point on PBEsol structure); values from VASP
! - total moment (μB/cell) = 0.00
! - E_form (uncorrected) (eV per atom) = -0.236
! - V (Å³ per cell) = 119.50
! - SG = F-43m
! - calculated density (Mg/m³) = 4.51
&SYSTEM
  ibrav = 0, nat = 6, ntyp = 3
/
ATOMIC_SPECIES
Y 88.91 Y.upf
Te 127.60 Te.upf
Al 26.98 Al.upf
ATOMIC_POSITIONS crystal
Y 0.0000 0.0000 0.0000
Te 0.7500 0.7500 0.7500
Al 0.3733 0.3733 0.3733
Al 0.3733 0.3733 0.8801
Al 0.8801 0.3733 0.3733
Al 0.3733 0.8801 0.3733
CELL_PARAMETERS angstrom
5.5288 0.0000 0.0000
2.7644 4.7881 0.0000
2.7644 1.5960 4.5143

! Ba2LiF (meta-GGA SCAN, single point on PBEsol structure); values from VASP
! - total moment (μB/cell) = 0.09
! - E_form (uncorrected) (eV per atom) = -1.401
! - V (Å³ per cell) = 306.76
! - SG = I-42d
! - calculated density (Mg/m³) = 3.25
&SYSTEM
  ibrav = 0, nat = 8, ntyp = 3
/
ATOMIC_SPECIES
Li 6.94 Li.upf
Ba 137.33 Ba.upf
F 19.00 F.upf
ATOMIC_POSITIONS crystal
Li 0.0000 0.5000 0.5000
Li 0.5000 0.2500 0.7500
Ba 0.0959 0.7209 0.1250
Ba 0.9041 0.0291 0.6250
Ba 0.4041 0.3750 0.2791
Ba 0.5959 0.8750 0.9709
F 0.0000 0.0000 0.0000
F 0.5000 0.7500 0.2500
CELL_PARAMETERS angstrom
-3.1932 -6.2332 -2.5534
6.7488 1.6221 -2.7187
1.9849 0.0054 7.1854

! LiLaY (meta-GGA SCAN, single point on PBEsol structure); values from VASP
! - total moment (μB/cell) = 0.19
! - V (Å³ per cell) = 84.65
! - calculated formation energy (eV/atom) = 0.0759
! - SG = I4mm
! - calculated density (Mg/m³) = 4.60
&SYSTEM
  ibrav = 0, nat = 3, ntyp = 3
/
ATOMIC_SPECIES
Y 88.91 Y.upf
Li 6.94 Li.upf
La 138.91 La.upf
ATOMIC_POSITIONS crystal
Y 0.3176 0.3176 0.6352
Li 0.6717 0.6717 0.3434
La 0.0107 0.0107 0.0214
CELL_PARAMETERS angstrom
-0.4981 1.2354 -3.4679
1.9791 -2.8610 -1.3034
-5.8660 -2.5263 1.9324

! HgSbAu2 (meta-GGA SCAN, single point on PBEsol structure); values from VASP
! - total moment (μB/cell) = 0.00
! - E_form (uncorrected) (eV per atom) = 0.071
! - V (Å³ per cell) = 85.95
! - SG = Imm2
! - calculated density (Mg/m³) = 13.84
&SYSTEM
  ibrav = 0, nat = 4, ntyp = 3
/
ATOMIC_SPECIES
Au 196.97 Au.upf
Hg 200.59 Hg.upf
Sb 121.76 Sb.upf
ATOMIC_POSITIONS crystal
Au 0.0163 0.0163 0.0325
Au 0.3064 0.8064 0.6127
Hg 0.4651 0.4651 0.9302
Sb 0.7123 0.2123 0.4245
CELL_PARAMETERS angstrom
3.1203 0.0000 0.0000
0.0000 4.4660 0.0000
-1.5602 -2.2330 6.1680

! LaTcPt2 (meta-GGA SCAN, single point on PBEsol structure); values from VASP
! - total moment (μB/cell) = 0.00
! - V (Å³ per cell) = 68.91
! - calculated formation energy (eV/atom) = 0.0867
! - SG = R-3m
! - calculated density (Mg/m³) = 15.11
&SYSTEM
  ibrav = 0, nat = 4, ntyp = 3
/
ATOMIC_SPECIES
La 138.91 La.upf
Pt 195.08 Pt.upf
Tc 98.00 Tc.upf
ATOMIC_POSITIONS crystal
La 0.0000 0.0000 0.0000
Pt 0.2402 0.2402 0.2794
Pt 0.7598 0.7598 0.7206
Tc 0.5000 0.5000 0.5000
CELL_PARAMETERS angstrom
2.8626 0.0000 0.0000
1.4313 2.4791 0.0000
1.4313 0.8264 9.7099

> Which value of V does entry 8 give?

119.50 Å³ per cell

> Which value of total moment does entry 7 give?

0.00 μB/cell

> Which of these has the highest total moment?

SrTeAsN2